# AgBiTe2N

A relaxed structure of AgBiTe2N (PBE-GGA, Alexandria).

Lattice parameters (Å, degrees): 6.0005 6.0005 4.3589 90.00 90.00 90.00
Closest atoms and distances in Å follow each position.
Positions (direct):
Ag 0.0000 0.0000 0.0000  8 Te 3.71
Bi 0.5000 0.5000 0.5000  2 N 2.18
Te 0.0000 0.5000 0.5000  2 Bi 3.00
Te 0.5000 0.0000 0.5000  2 Bi 3.00
N 0.5000 0.5000 0.0000  2 Bi 2.18

Output
Excess energy over the best structure of this formula in the dataset = 230 meV/atom
ΔE_f (raw) = 1096 meV per atom
DFT total energy = -3.17 eV per atom
Space-group type = No. 123
Magnetization = 1.89 μB per formula unit